# 1
Compound: NbCl2
Source: OQMD via LeMat-Bulk
Functional: PBE-GGA
Structure: relaxed

Total DFT energy (no corrections) (Ry per atom): -0.3855
Symmetry: P4_2/mnm, No. 136

Cell lengths 6.016, 6.016, 3.965 Å; angles 90.00, 90.00, 90.00 degrees
Sites, in units of the cell vectors:
Cl 0.303 0.303 0.000
Cl 0.697 0.697 0.000
Cl 0.803 0.197 0.500
Cl 0.197 0.803 0.500
Nb 0.000 0.000 0.000
Nb 0.500 0.500 0.500


# 2
Compound: CdTePbO
Source: OQMD via LeMat-Bulk
Functional: PBE-GGA
Structure: relaxed

Total DFT energy (no corrections) (Ry per atom): -0.2451
ΔE to the lowest computed polymorph (meV per atom): 520
Symmetry: P4/nmm, No. 129

Cell lengths 4.744, 4.744, 8.946 Å; angles 90.00, 90.00, 90.00 degrees
Sites, in units of the cell vectors:
Cd 0.750 0.750 0.256
Cd 0.250 0.250 0.744
O 0.750 0.750 0.493
O 0.250 0.250 0.507
Pb 0.750 0.250 0.000
Pb 0.250 0.750 0.000
Te 0.250 0.250 0.295
Te 0.750 0.750 0.705


# 3
Compound: PaCd
Source: OQMD via LeMat-Bulk
Functional: PBE-GGA
Structure: relaxed

Total DFT energy (no corrections) (Ry per atom): -0.3198
Energy of formation (meV per atom): 844
Symmetry: P6_3/mmc, No. 194

Cell lengths 4.870, 4.870, 5.496 Å; angles 90.00, 90.00, 120.00 degrees
Sites, in units of the cell vectors:
Cd 0.000 0.000 0.000
Cd 0.000 0.000 0.500
Pa 0.333 0.667 0.250
Pa 0.667 0.333 0.750